An optimized crystal structure of Sc2AuS. Source: Alexandria, functional PBE.

The structure in POSCAR format:
```
Sc2AuS
1.0
1.732 1.000 8.442
-1.732 1.000 8.442
0.000 -2.000 8.442
Sc Au S
2 1 1
Direct
0.107 0.107 0.107 Sc
0.893 0.893 0.893 Sc
0.000 0.000 0.000 Au
0.500 0.500 0.500 S
```

Summary:
Uncorrected formation energy (eV/atom): -0.708
Total magnetization (μB/f.u.): 0.0